No. 1
## Nd2Ga4Pt3 (PBE-GGA)

Data for a geometry-optimized Nd2Ga4Pt3 structure.

Unit cell a=5.553 b=9.818 c=12.950 alpha=90.00 beta=90.00 gamma=90.00
Space group Fmmm (No. 69)
Inequivalent atoms, fractional coordinates:
Nd 0.000 0.000 0.128 [8 per cell]
Ga 0.000 0.171 0.336 [16 per cell]
Pt 0.000 0.000 0.500 [4 per cell]
Pt 0.250 0.250 0.000 [8 per cell]

Properties
magnetization	0.0	Bohr magnetons per cell
electronic total energy	-186.99	eV/cell

***

No. 2
## BaInSb2 (PBE-GGA)

Data for a geometry-optimized BaInSb2 structure.

Unit cell a=3.780 b=3.780 c=9.154 alpha=90.00 beta=90.00 gamma=90.00
Space group P4/mmm (No. 123)
Inequivalent atoms, fractional coordinates:
Ba 0.000 0.000 0.000 [1 per cell]
In 0.000 0.000 0.500 [1 per cell]
Sb 0.500 0.500 0.273 [2 per cell]

Properties
energy relative to the elements, uncorrected	-0.273	eV/atom
magnetization	0.0	Bohr magnetons per cell

***

No. 3
## LiPt2Pb4 (PBE-GGA)

Data for a geometry-optimized LiPt2Pb4 structure.

Unit cell a=4.5922 b=4.5922 c=28.1638 alpha=90.00 beta=90.00 gamma=120.00
Space group R-3m (No. 166, hexagonal axes)
Inequivalent atoms, fractional coordinates:
Li 0.0000 0.0000 0.0000 [3 per cell]
Pt 0.0000 0.0000 0.0939 [6 per cell]
Pb 0.0000 0.0000 0.2041 [6 per cell]
Pb 0.0000 0.0000 0.3822 [6 per cell]

Properties
magnetization	0.0	Bohr magnetons per cell
electronic total energy	-91.68	eV/cell

***

No. 4
## Tb5Nd3Y4 (PBE-GGA)

Data for a geometry-optimized Tb5Nd3Y4 structure.

Unit cell a=6.225 b=7.187 c=8.801 alpha=90.03 beta=90.07 gamma=90.14
Space group P-1 (No. 2)
Inequivalent atoms, fractional coordinates:
Tb 0.000 0.000 0.000 [1 per cell]
Tb 0.335 0.500 0.333 [2 per cell]
Tb 0.500 0.249 0.000 [2 per cell]
Nd 0.000 0.500 0.000 [1 per cell]
Nd 0.167 0.250 0.667 [2 per cell]
Y 0.168 0.750 0.667 [2 per cell]
Y 0.333 0.000 0.332 [2 per cell]

Properties
magnetization	0.0	Bohr magnetons per cell
energy above the lowest structure with this stoichiometry	0	meV per atom

***

No. 5
## SnMoAsBr2 (PBE-GGA)

Data for a geometry-optimized SnMoAsBr2 structure.

Unit cell a=5.212 b=5.212 c=5.015 alpha=90.00 beta=90.00 gamma=90.00
Space group P4/mmm (No. 123)
Inequivalent atoms, fractional coordinates:
Sn 0.000 0.000 0.000 [1 per cell]
Mo 0.500 0.500 0.500 [1 per cell]
As 0.500 0.500 0.000 [1 per cell]
Br 0.000 0.500 0.500 [2 per cell]

Properties
energy relative to the elements, uncorrected	0.288	eV/atom
magnetization	2.5	Bohr magnetons per cell
energy above the lowest structure with this stoichiometry	0	meV per atom

***

No. 6
## ErLuSb (PBE-GGA)

Data for a geometry-optimized ErLuSb structure.

Unit cell a=5.0227 b=5.0227 c=3.8356 alpha=90.00 beta=90.00 gamma=120.00
Space group P3m1 (No. 156)
Inequivalent atoms, fractional coordinates:
Er 0.0000 0.0000 0.0000 [1 per cell]
Lu 0.6667 0.3333 0.4682 [1 per cell]
Sb 0.3333 0.6667 0.7088 [1 per cell]

Properties
energy relative to the elements, uncorrected	-0.387	eV/atom
magnetization	0.0	Bohr magnetons per cell

***

No. 7
## La2Al3CdAg4 (PBE-GGA)

Data for a geometry-optimized La2Al3CdAg4 structure.

Unit cell a=4.514 b=4.514 c=10.989 alpha=90.00 beta=90.00 gamma=90.00
Space group P-4m2 (No. 115)
Inequivalent atoms, fractional coordinates:
La 0.000 0.500 0.243 [2 per cell]
Al 0.000 0.500 0.874 [2 per cell]
Al 0.500 0.500 0.500 [1 per cell]
Cd 0.000 0.000 0.500 [1 per cell]
Ag 0.000 0.000 0.000 [1 per cell]
Ag 0.000 0.500 0.643 [2 per cell]
Ag 0.500 0.500 0.000 [1 per cell]

Properties
magnetization	0.0	Bohr magnetons per cell
electronic total energy	-36.46	eV/cell

***

No. 8
## LiAcCdHg (PBE-GGA)

Data for a geometry-optimized LiAcCdHg structure.

Unit cell a=7.633 b=7.633 c=7.633 alpha=90.00 beta=90.00 gamma=90.00
Space group F-43m (No. 216)
Inequivalent atoms, fractional coordinates:
Li 0.000 0.000 0.000 [4 per cell]
Ac 0.000 0.000 0.500 [4 per cell]
Cd 0.250 0.250 0.750 [4 per cell]
Hg 0.250 0.250 0.250 [4 per cell]

Properties
magnetization	0.0	Bohr magnetons per cell
energy above the lowest structure with this stoichiometry	11	meV per atom

***

No. 9
## PuSbS3 (PBE-GGA)

Data for a geometry-optimized PuSbS3 structure.

Unit cell a=10.304 b=4.028 c=12.947 alpha=90.00 beta=90.00 gamma=90.00
Space group Pnma (No. 62)
Inequivalent atoms, fractional coordinates:
Pu 0.166 0.250 0.031 [4 per cell]
Sb 0.046 0.250 0.650 [4 per cell]
S 0.025 0.750 0.113 [4 per cell]
S 0.154 0.250 0.473 [4 per cell]
S 0.184 0.750 0.711 [4 per cell]

Properties
energy relative to the elements, uncorrected	-0.912	eV/atom
magnetization	19.5	Bohr magnetons per cell
energy above the lowest structure with this stoichiometry	0	meV per atom

***

No. 10
## TiCr6W5 (PBE-GGA)

Data for a geometry-optimized TiCr6W5 structure.

Unit cell a=4.283 b=6.051 c=12.824 alpha=90.00 beta=90.00 gamma=90.00
Space group Immm (No. 71)
Inequivalent atoms, fractional coordinates:
Ti 0.000 0.000 0.000 [2 per cell]
Cr 0.000 0.249 0.500 [4 per cell]
Cr 0.000 0.250 0.167 [8 per cell]
W 0.000 0.000 0.334 [4 per cell]
W 0.000 0.500 0.000 [2 per cell]
W 0.000 0.500 0.334 [4 per cell]

Properties
magnetization	0.0	Bohr magnetons per cell
electronic total energy	-261.36	eV/cell

***

No. 11
## MgZnRh2 (PBE-GGA)

Data for a geometry-optimized MgZnRh2 structure.

Unit cell a=2.8868 b=2.8868 c=24.7808 alpha=90.00 beta=90.00 gamma=120.00
Space group R-3m (No. 166, hexagonal axes)
Inequivalent atoms, fractional coordinates:
Mg 0.0000 0.0000 0.0000 [3 per cell]
Zn 0.0000 0.0000 0.5000 [3 per cell]
Rh 0.0000 0.0000 0.2477 [6 per cell]

Properties
magnetization	1.2	Bohr magnetons per cell
electronic total energy	-56.07	eV/cell

***

No. 12
## Re2Pt3 (PBE-GGA)

Data for a geometry-optimized Re2Pt3 structure.

Unit cell a=3.8347 b=3.8347 c=21.0193 alpha=90.00 beta=90.00 gamma=120.00
Space group R-3m (No. 166, hexagonal axes)
Inequivalent atoms, fractional coordinates:
Re 0.0000 0.0000 0.0974 [6 per cell]
Pt 0.0000 0.0000 0.2920 [6 per cell]
Pt 0.0000 0.0000 0.5000 [3 per cell]

Properties
magnetization	0.0	Bohr magnetons per cell
energy above the lowest structure with this stoichiometry	764	meV per atom

***

What are the ρ values for these records? In order: 10.84, 6.29, 11.87, 6.68, 5.48, 9.19, 6.69, 8.17, 5.71, 12.78, 8.23, 17.82 g/cm3.